No. 1
Material: LuCd2Cu
Method: DFT, PBE-GGA
State: relaxed

Properties
SG	P4/mmm
energy of formation from the pure elements	-0.10	eV/atom
calculated density	9.442	g/cm³

Cell lengths 3.3089, 3.3089, 7.4425 Å; angles 90.00, 90.00, 90.00 degrees
Sites, in units of the cell vectors:
1 Lu 0.0000 0.0000 0.0000
2 Cd 0.5000 0.5000 0.2929
3 Cd 0.5000 0.5000 0.7071
4 Cu 0.0000 0.0000 0.5000


No. 2
Material: LuCdCu
Method: DFT, PBE-GGA
State: relaxed

Properties
SG	I4mm
energy of formation from the pure elements	-0.17	eV/atom
calculated density	9.613	g/cm³

Cell lengths 3.4253, 3.4253, 10.3329 Å; angles 90.00, 90.00, 90.00 degrees
Sites, in units of the cell vectors:
1 Lu 0.0000 0.0000 0.0000
2 Lu 0.5000 0.5000 0.5000
3 Cd 0.0000 0.0000 0.6993
4 Cd 0.5000 0.5000 0.1993
5 Cu 0.0000 0.0000 0.3405
6 Cu 0.5000 0.5000 0.8405


No. 3
Material: NdLuCdCu
Method: DFT, PBE-GGA
State: relaxed

Properties
SG	F-43m
energy of formation from the pure elements	-0.20	eV/atom
calculated density	8.478	g/cm³

Cell lengths 7.2932, 7.2932, 7.2932 Å; angles 90.00, 90.00, 90.00 degrees
Sites, in units of the cell vectors:
1 Nd 0.0000 0.0000 0.0000
2 Nd 0.0000 0.5000 0.5000
3 Nd 0.5000 0.0000 0.5000
4 Nd 0.5000 0.5000 0.0000
5 Lu 0.0000 0.0000 0.5000
6 Lu 0.0000 0.5000 0.0000
7 Lu 0.5000 0.0000 0.0000
8 Lu 0.5000 0.5000 0.5000
9 Cd 0.2500 0.2500 0.2500
10 Cd 0.2500 0.7500 0.7500
11 Cd 0.7500 0.2500 0.7500
12 Cd 0.7500 0.7500 0.2500
13 Cu 0.2500 0.2500 0.7500
14 Cu 0.2500 0.7500 0.2500
15 Cu 0.7500 0.2500 0.2500
16 Cu 0.7500 0.7500 0.7500


No. 4
Material: LuCdCuNi
Method: DFT, PBE-GGA
State: relaxed

Properties
SG	F-43m
energy of formation from the pure elements	-0.23	eV/atom
calculated density	9.955	g/cm³

Cell lengths 6.4895, 6.4895, 6.4895 Å; angles 90.00, 90.00, 90.00 degrees
Sites, in units of the cell vectors:
1 Lu 0.0000 0.0000 0.0000
2 Lu 0.0000 0.5000 0.5000
3 Lu 0.5000 0.0000 0.5000
4 Lu 0.5000 0.5000 0.0000
5 Cd 0.0000 0.0000 0.5000
6 Cd 0.0000 0.5000 0.0000
7 Cd 0.5000 0.0000 0.0000
8 Cd 0.5000 0.5000 0.5000
9 Cu 0.2500 0.2500 0.2500
10 Cu 0.2500 0.7500 0.7500
11 Cu 0.7500 0.2500 0.7500
12 Cu 0.7500 0.7500 0.2500
13 Ni 0.2500 0.2500 0.7500
14 Ni 0.2500 0.7500 0.2500
15 Ni 0.7500 0.2500 0.2500
16 Ni 0.7500 0.7500 0.7500


No. 5
Material: PmLuCdCu
Method: DFT, PBE-GGA
State: relaxed

Properties
SG	F-43m
energy of formation from the pure elements	-0.21	eV/atom
calculated density	8.596	g/cm³

Cell lengths 7.2635, 7.2635, 7.2635 Å; angles 90.00, 90.00, 90.00 degrees
Sites, in units of the cell vectors:
1 Pm 0.0000 0.0000 0.0000
2 Pm 0.0000 0.5000 0.5000
3 Pm 0.5000 0.0000 0.5000
4 Pm 0.5000 0.5000 0.0000
5 Lu 0.0000 0.0000 0.5000
6 Lu 0.0000 0.5000 0.0000
7 Lu 0.5000 0.0000 0.0000
8 Lu 0.5000 0.5000 0.5000
9 Cd 0.2500 0.2500 0.7500
10 Cd 0.2500 0.7500 0.2500
11 Cd 0.7500 0.2500 0.2500
12 Cd 0.7500 0.7500 0.7500
13 Cu 0.2500 0.2500 0.2500
14 Cu 0.2500 0.7500 0.7500
15 Cu 0.7500 0.2500 0.7500
16 Cu 0.7500 0.7500 0.2500


No. 6
Material: PrLuCdCu
Method: DFT, PBE-GGA
State: relaxed

Properties
SG	F-43m
energy of formation from the pure elements	-0.19	eV/atom
calculated density	8.317	g/cm³

Cell lengths 7.3235, 7.3235, 7.3235 Å; angles 90.00, 90.00, 90.00 degrees
Sites, in units of the cell vectors:
1 Pr 0.0000 0.0000 0.0000
2 Pr 0.0000 0.5000 0.5000
3 Pr 0.5000 0.0000 0.5000
4 Pr 0.5000 0.5000 0.0000
5 Lu 0.0000 0.0000 0.5000
6 Lu 0.0000 0.5000 0.0000
7 Lu 0.5000 0.0000 0.0000
8 Lu 0.5000 0.5000 0.5000
9 Cd 0.2500 0.2500 0.7500
10 Cd 0.2500 0.7500 0.2500
11 Cd 0.7500 0.2500 0.2500
12 Cd 0.7500 0.7500 0.7500
13 Cu 0.2500 0.2500 0.2500
14 Cu 0.2500 0.7500 0.7500
15 Cu 0.7500 0.2500 0.7500
16 Cu 0.7500 0.7500 0.2500